[1]
Material: MgSb2Pt
Method: DFT, PBE
State: relaxed

It has space group Immm (No. 71), with a = 3.482 Å, b = 4.420 Å, c = 12.371 Å, α = 90.00°, β = 90.00° and γ = 90.00°. The asymmetric unit holds Mg at (0.000, 0.000, 0.000), Sb at (0.000, 0.500, 0.173) and Pt at (0.000, 0.000, 0.500).

As for the calculated volume: 23.80 Å³/atom. For the electronic total energy, the calculation gives -4.309 eV per atom. As for the formation energy without anion corrections: -1.4 eV/f.u.

=====

[2]
Material: KMg2BiSb
Method: DFT, PBE
State: relaxed

It has space group P4/mmm (No. 123), with a = 5.401 Å, b = 5.401 Å, c = 6.340 Å, α = 90.00°, β = 90.00° and γ = 90.00°. The asymmetric unit holds K at (0.000, 0.000, 0.000), Mg at (0.000, 0.500, 0.500), Bi at (0.500, 0.500, 0.000) and Sb at (0.000, 0.000, 0.500).

As for the calculated volume: 37.00 Å³/atom. For the electronic total energy, the calculation gives -2.331 eV per atom. As for the formation energy without anion corrections: 0.6 eV/f.u.

=====

[3]
Material: Na2ThB2O6
Method: DFT, PBE
State: relaxed

It has space group P-3 (No. 147), with a = 5.3748 Å, b = 5.3748 Å, c = 6.2953 Å, α = 90.00°, β = 90.00° and γ = 120.00°. The asymmetric unit holds Na at (0.3333, 0.6667, 0.3495), Th at (0.0000, 0.0000, 0.0000), B at (0.3333, 0.6667, 0.7875) and O at (0.0991, 0.7094, 0.7824).

As for the calculated volume: 14.32 Å³/atom. For the electronic total energy, the calculation gives -7.468 eV per atom. As for the formation energy without anion corrections: -29.0 eV/f.u.

=====

[4]
Material: ThAg3Br6Cl2
Method: DFT, PBE
State: relaxed

It has space group C2/m (No. 12), with a = 13.807 Å, b = 8.097 Å, c = 6.722 Å, α = 90.00°, β = 103.60° and γ = 90.00°. The asymmetric unit holds Th at (0.000, 0.000, 0.000), Ag at (0.000, 0.500, 0.500), Ag at (0.250, 0.250, 0.000), Br at (0.104, 0.253, 0.259), Br at (0.143, 0.000, 0.750) and Cl at (0.153, 0.500, 0.776).

As for the calculated volume: 30.44 Å³/atom. For the electronic total energy, the calculation gives -3.370 eV per atom. As for the formation energy without anion corrections: -10.7 eV/f.u.

=====

[5]
Material: TiBr4
Method: DFT, PBE
State: relaxed

It has space group Pa-3 (No. 205), with a = 12.144 Å, b = 12.144 Å, c = 12.144 Å, α = 90.00°, β = 90.00° and γ = 90.00°. The asymmetric unit holds Ti at (0.132, 0.132, 0.132), Br at (0.017, 0.243, 0.026) and Br at (0.244, 0.244, 0.244).

As for the calculated volume: 44.78 Å³/atom. For the electronic total energy, the calculation gives -4.115 eV per atom. As for the formation energy without anion corrections: -6.0 eV/f.u.

=====

[6]
Material: SrSi2Ir
Method: DFT, PBE
State: relaxed

It has space group Fm-3m (No. 225), with a = 6.583 Å, b = 6.583 Å, c = 6.583 Å, α = 90.00°, β = 90.00° and γ = 90.00°. The asymmetric unit holds Sr at (0.000, 0.000, 0.000), Si at (0.250, 0.250, 0.250) and Ir at (0.000, 0.000, 0.500).

As for the calculated volume: 17.83 Å³/atom. For the electronic total energy, the calculation gives -5.295 eV per atom. As for the formation energy without anion corrections: 0.2 eV/f.u.

=====

[7]
Material: Sr2LiSbS
Method: DFT, PBE
State: relaxed

It has space group P4/mmm (No. 123), with a = 5.708 Å, b = 5.708 Å, c = 4.649 Å, α = 90.00°, β = 90.00° and γ = 90.00°. The asymmetric unit holds Sr at (0.000, 0.500, 0.000), Li at (0.000, 0.000, 0.500), Sb at (0.500, 0.500, 0.500) and S at (0.000, 0.000, 0.000).

As for the calculated volume: 30.30 Å³/atom. For the electronic total energy, the calculation gives -3.973 eV per atom. As for the formation energy without anion corrections: -6.3 eV/f.u.

=====

[8]
Material: AlHg2Os
Method: DFT, PBE
State: relaxed

It has space group Immm (No. 71), with a = 3.490 Å, b = 4.298 Å, c = 9.433 Å, α = 90.00°, β = 90.00° and γ = 90.00°. The asymmetric unit holds Al at (0.000, 0.000, 0.000), Hg at (0.000, 0.500, 0.265) and Os at (0.000, 0.000, 0.500).

As for the calculated volume: 17.69 Å³/atom. For the electronic total energy, the calculation gives -3.389 eV per atom.

=====

[9]
Material: LiCd2Pb
Method: DFT, PBE
State: relaxed

It has space group C2/m (No. 12), with a = 6.125 Å, b = 11.270 Å, c = 3.234 Å, α = 90.00°, β = 121.63° and γ = 90.00°. The asymmetric unit holds Li at (0.000, 0.000, 0.000), Cd at (0.250, 0.250, 0.000) and Pb at (0.000, 0.500, 0.000).

As for the calculated volume: 23.76 Å³/atom. For the electronic total energy, the calculation gives -1.948 eV per atom.

=====

[10]
Material: In3IrBr
Method: DFT, PBE
State: relaxed

It has space group P6_3/mmc (No. 194), with a = 4.5340 Å, b = 4.5340 Å, c = 18.3189 Å, α = 90.00°, β = 90.00° and γ = 120.00°. The asymmetric unit holds In at (0.0000, 0.0000, 0.2500), In at (0.3333, 0.6667, 0.1056), Ir at (0.3333, 0.6667, 0.2500) and Br at (0.0000, 0.0000, 0.0000).

As for the calculated volume: 32.61 Å³/atom. For the electronic total energy, the calculation gives -3.732 eV per atom. As for the formation energy without anion corrections: 0.1 eV/f.u.

=====

[11]
Material: LiLaHgGe
Method: DFT, PBE
State: relaxed

It has space group F-43m (No. 216), with a = 7.280 Å, b = 7.280 Å, c = 7.280 Å, α = 90.00°, β = 90.00° and γ = 90.00°. The asymmetric unit holds Li at (0.000, 0.000, 0.000), La at (0.000, 0.000, 0.500), Hg at (0.250, 0.250, 0.250) and Ge at (0.250, 0.250, 0.750).

As for the calculated volume: 24.11 Å³/atom. For the electronic total energy, the calculation gives -3.462 eV per atom.

=====

[12]
Material: KSmSb2
Method: DFT, PBE
State: relaxed

It has space group P4/mmm (No. 123), with a = 4.187 Å, b = 4.187 Å, c = 7.615 Å, α = 90.00°, β = 90.00° and γ = 90.00°. The asymmetric unit holds K at (0.000, 0.000, 0.000), Sm at (0.000, 0.000, 0.500) and Sb at (0.500, 0.500, 0.305).

As for the calculated volume: 33.38 Å³/atom. For the electronic total energy, the calculation gives -4.185 eV per atom. As for the formation energy without anion corrections: -2.7 eV/f.u.